Entry 1:
4
Lattice="-1.5788 -2.9830 0.4949 1.6237 -0.3640 2.9777 -5.7068 3.6099 3.5532" Properties=species:S:1:pos:R:3 comment="YMg2P | Alexandria via LeMat-Bulk | PBE | optimized geometry" total_energy_ev_per_atom=-3.9631 delta_e_f_ev_per_atom=-0.20 density_g_cm3=3.2 m_tot_mub_per_cell=0.29 pbc="T T T"
Mg -0.3587 0.2269 0.2234
Mg -2.4946 1.5780 1.5532
P -1.4042 -0.7710 2.6246
Y -4.2576 1.0340 4.4012

=====

Entry 2:
16
Lattice="-0.5483 -3.5907 -2.9202 4.7762 3.5488 -1.5414 9.4425 -8.7860 9.0303" Properties=species:S:1:pos:R:3 comment="Ca3Zn2In3 | Alexandria via LeMat-Bulk | PBE | optimized geometry" total_energy_ev_per_atom=-2.4715 delta_e_f_ev_per_atom=-0.38 density_g_cm3=4.7 m_tot_mub_per_cell=0.00 pbc="T T T"
In 1.1957 -1.7072 -1.8445
In 12.4746 -7.1206 6.4133
In 5.1831 -5.4173 1.9688
In 5.5247 -0.9641 0.1481
In 8.1456 -7.8637 4.4207
In 8.4873 -3.4105 2.6000
Zn 2.8695 -0.1904 -0.3047
Zn 10.8008 -8.6375 4.8735
Zn 8.0615 -6.0886 2.2537
Zn 5.6088 -2.7393 2.3150
Ca 7.1738 -3.7772 -0.4217
Ca 10.3281 -5.3251 4.6085
Ca 4.4967 -1.2863 -2.9820
Ca 3.3422 -3.5027 -0.0397
Ca 9.1736 -7.5416 7.5507
Ca 6.4965 -5.0506 4.9904

=====

Entry 3:
4
Lattice="-3.7701 2.2436 -3.5365 -5.4201 0.5839 1.4271 5.4655 1.1670 0.7217" Properties=species:S:1:pos:R:3 comment="HgIr2Ru | Alexandria via LeMat-Bulk | PBE | optimized geometry" total_energy_ev_per_atom=-6.3196 delta_e_f_ev_per_atom=0.51 density_g_cm3=17.6 m_tot_mub_per_cell=0.00 pbc="T T T"
Hg -1.4499 2.4122 -1.9347
Ir -0.1874 0.0577 -0.0430
Ir -4.4077 1.3561 -1.0117
Ru -2.2748 1.5823 0.5471